(1)
A plane-wave DFT calculation with PBE was carried out for a relaxed CdGeTe2 crystal.

Lattice parameters (Å, degrees): 4.959 4.959 7.145 69.70 69.70 60.00
Fractional positions:
Te 0.860 0.860 0.419
Te 0.342 0.342 0.973
Ge 0.001 0.001 0.996
Cd 0.488 0.488 0.535

Results
The calculation puts the formation energy without anion corrections at -0.68 eV per formula unit. The relative energy among the computed polymorphs is 0 meV/atom. Its energy is -12.49 eV for the cell shown.


(2)
A plane-wave DFT calculation with PBE was carried out for a relaxed AlTlBi crystal.

Lattice parameters (Å, degrees): 3.623 3.623 6.864 105.30 105.30 90.00
Fractional positions:
Tl 0.983 0.983 0.966
Bi 0.692 0.692 0.385
Al 0.325 0.325 0.649

Results
The relative energy among the computed polymorphs is 59 meV/atom. Its formation energy is 0.1708 eV per atom. Its energy is -9.48 eV for the cell shown.


(3)
A plane-wave DFT calculation with PBE was carried out for a relaxed NaNd2SbO5 crystal.

Lattice parameters (Å, degrees): 6.298 6.838 6.838 90.00 90.00 90.00
Fractional positions:
O 0.741 0.858 0.358
Nd 0.500 0.677 0.177
Na 0.000 0.500 0.500
Nd 0.500 0.823 0.677
O 0.259 0.858 0.358
O 0.741 0.358 0.142
O 0.259 0.142 0.642
O 0.500 0.500 0.500
Na 0.000 0.000 0.000
Sb 0.000 0.500 0.000
O 0.259 0.642 0.858
Nd 0.500 0.323 0.823
O 0.741 0.642 0.858
O 0.500 0.000 0.000
O 0.259 0.358 0.142
Sb 0.000 0.000 0.500
O 0.741 0.142 0.642
Nd 0.500 0.177 0.323

Results
The calculation puts the formation energy without anion corrections at -19.92 eV per formula unit. Its energy is -119.37 eV for the cell shown.


(4)
A plane-wave DFT calculation with PBE was carried out for a relaxed Pr6Ge2Sb3Te crystal.

Lattice parameters (Å, degrees): 4.466 9.000 10.020 102.88 102.88 90.00
Fractional positions:
Ge 0.167 0.333 0.334
Sb 0.500 0.500 0.000
Sb 0.837 0.167 0.674
Pr 0.994 0.742 0.988
Pr 0.331 0.905 0.662
Ge 0.833 0.667 0.666
Pr 0.669 0.095 0.338
Pr 0.670 0.577 0.340
Te 0.500 0.000 0.000
Pr 0.006 0.258 0.012
Sb 0.163 0.833 0.326
Pr 0.330 0.423 0.660

Results
The calculation puts the formation energy without anion corrections at -13.17 eV per formula unit. Its energy is -66.59 eV for the cell shown.


(5)
A plane-wave DFT calculation with PBE was carried out for a relaxed CsBPbI2F4 crystal.

Lattice parameters (Å, degrees): 6.130 6.130 6.962 89.11 89.11 90.54
Fractional positions:
F 0.199 0.987 0.877
I 0.996 0.493 0.621
B 0.012 0.988 0.000
Cs 0.486 0.514 0.000
F 0.013 0.801 0.123
F 0.015 0.177 0.116
I 0.507 0.004 0.379
Pb 0.005 0.995 0.500
F 0.823 0.985 0.884

Results
The calculation puts the formation energy without anion corrections at -19.63 eV per formula unit. Its energy is -41.46 eV for the cell shown.


(6)
A plane-wave DFT calculation with PBE was carried out for a relaxed SmOsI crystal.

Lattice parameters (Å, degrees): 4.251 4.251 12.566 80.26 80.26 60.00
Fractional positions:
Sm 0.555 0.555 0.336
Os 0.836 0.836 0.492
Sm 0.445 0.445 0.664
Os 0.164 0.164 0.508
I 0.721 0.721 0.837
I 0.279 0.279 0.163

Results
The calculation puts the formation energy without anion corrections at -2.31 eV per formula unit. Its energy is -39.61 eV for the cell shown.


(7)
A plane-wave DFT calculation with PBE was carried out for a relaxed PmNd6Tl crystal.

Lattice parameters (Å, degrees): 5.043 5.043 10.445 90.00 90.00 90.00
Fractional positions:
Nd 0.500 0.000 0.757
Tl 0.000 0.000 0.000
Pm 0.000 0.000 0.500
Nd 0.500 0.500 0.500
Nd 0.000 0.500 0.757
Nd 0.500 0.000 0.243
Nd 0.000 0.500 0.243
Nd 0.500 0.500 0.000

Results
The relative energy among the computed polymorphs is 0 meV/atom. Its formation energy is -0.0838 eV per atom. Its energy is -36.39 eV for the cell shown.


(8)
A plane-wave DFT calculation with PBE was carried out for a relaxed TmCd3Pd7 crystal.

Lattice parameters (Å, degrees): 5.293 7.199 7.199 82.35 118.61 118.61
Fractional positions:
Tm 0.500 0.500 0.500
Pd 0.382 0.212 0.212
Pd 0.674 0.418 0.934
Pd 0.618 0.788 0.788
Pd 0.326 0.582 0.066
Pd 0.674 0.934 0.418
Cd 0.000 0.216 0.784
Cd 0.000 0.784 0.216
Pd 0.326 0.066 0.582
Cd 0.500 0.000 0.000
Pd 0.000 0.500 0.500

Results
Its formation energy is -0.2875 eV per atom. Its energy is -46.73 eV for the cell shown.